Sm2Sb after structural relaxation. Source: OQMD, functional PBE.

E (eV per atom): -3.526
Magnetization (μB per formula unit): 3.02
Space-group type: Fd-3m

Unit cell a=9.667 b=9.667 c=9.667 alpha=60.00 beta=60.00 gamma=60.00
Sites, in units of the cell vectors:
Sm  0.000  0.000  0.000
Sm  0.000  0.000  0.500
Sm  0.000  0.500  0.000
Sm  0.500  0.000  0.000
Sb  0.125  0.125  0.125
Sb  0.875  0.875  0.875